# 1
# Sc2AlGaO6

Crystalline Sc2AlGaO6 at its relaxed geometry (PBE, the Alexandria database).

Results
E_form (uncorrected)   -2.722 eV/atom
ρ   4.0 g/cm3
Magnetization   0.00 μB per formula unit
Space group   No. 99

The structure in POSCAR format:
```
Sc2AlGaO6
1.0
4.9620 0.0000 0.0000
0.0000 4.9620 0.0000
0.0000 0.0000 4.7362
Sc Al Ga O
2 1 1 6
Direct
0.0000 0.5000 0.0000
0.5000 0.0000 0.0000
0.0000 0.0000 0.6079
0.5000 0.5000 0.5923
0.0000 0.0000 0.2333
0.2458 0.2458 0.7526
0.2458 0.7542 0.7526
0.5000 0.5000 0.2066
0.7542 0.2458 0.7526
0.7542 0.7542 0.7526
```

# 2
# Sc4AlGaO

Crystalline Sc4AlGaO at its relaxed geometry (PBE, the Alexandria database).

Results
E_form (uncorrected)   -1.132 eV/atom
ρ   3.6 g/cm3
Magnetization   0.00 μB per formula unit
Space group   No. 63

The structure in POSCAR format:
```
Sc4AlGaO
1.0
3.0066 -7.4116 0.0000
3.0066 7.4116 0.0000
0.0000 0.0000 6.0154
Sc Al Ga O
8 2 2 2
Direct
0.0000 0.5000 0.0000
0.0000 0.5000 0.5000
0.0812 0.9188 0.7500
0.4135 0.5865 0.7500
0.5000 0.0000 0.0000
0.5000 0.0000 0.5000
0.5865 0.4135 0.2500
0.9188 0.0812 0.2500
0.3897 0.6103 0.2500
0.6103 0.3897 0.7500
0.1139 0.8861 0.2500
0.8861 0.1139 0.7500
0.2497 0.7503 0.7500
0.7503 0.2497 0.2500
```

# 3
# AlGa2SiO6

Crystalline AlGa2SiO6 at its relaxed geometry (PBE, the Alexandria database).

Results
E_form (uncorrected)   -2.113 eV/atom
ρ   4.7 g/cm3
Magnetization   0.00 μB per formula unit
Space group   No. 15

The structure in POSCAR format:
```
AlGa2SiO6
1.0
4.8717 -4.3019 0.0000
4.8717 4.3019 0.0000
-0.7032 0.0000 4.9420
Al Ga Si O
2 4 2 12
Direct
0.0883 0.9117 0.7500
0.9117 0.0883 0.2500
0.2169 0.4087 0.7053
0.4087 0.2169 0.2053
0.5913 0.7831 0.7947
0.7831 0.5913 0.2947
0.2583 0.7417 0.2500
0.7417 0.2583 0.7500
0.0114 0.1897 0.6198
0.1398 0.6632 0.9195
0.1897 0.0114 0.1198
0.2769 0.4859 0.3587
0.3368 0.8602 0.5805
0.4859 0.2769 0.8587
0.5141 0.7231 0.1413
0.6632 0.1398 0.4195
0.7231 0.5141 0.6413
0.8103 0.9886 0.8802
0.8602 0.3368 0.0805
0.9886 0.8103 0.3802
```

# 4
# Sr2AlGaSn2O7

Crystalline Sr2AlGaSn2O7 at its relaxed geometry (PBE, the Alexandria database).

Results
E_form (uncorrected)   -1.989 eV/atom
ρ   4.7 g/cm3
Magnetization   0.00 μB per formula unit
Space group   No. 1

The structure in POSCAR format:
```
Sr2AlGaSn2O7
1.0
5.7553 0.0000 0.0000
0.1146 6.5227 0.0000
2.8162 3.1859 11.5886
Sr Al Ga Sn O
4 2 2 4 14
Direct
0.0000 0.0000 0.0000
0.1125 0.2083 0.6658
0.4686 0.6006 0.0246
0.5921 0.8091 0.6783
0.2946 0.6648 0.2753
0.7702 0.1250 0.4090
0.5010 0.2663 0.8398
0.9966 0.5720 0.8619
0.2157 0.7799 0.4769
0.4197 0.0591 0.1398
0.6865 0.4223 0.5331
0.8787 0.3963 0.1843
0.0738 0.6587 0.2002
0.1330 0.8349 0.7722
0.1718 0.3267 0.8404
0.1964 0.2843 0.0926
0.3851 0.5634 0.5915
0.4814 0.0150 0.9644
0.4890 0.9960 0.4793
0.5422 0.5362 0.2253
0.6280 0.1880 0.7007
0.6733 0.5080 0.8433
0.7212 0.2348 0.0879
0.9178 0.5808 0.5866
0.9241 0.6259 0.0096
0.9797 0.0265 0.4945
```

# 5
# Sr3AlGa2O8

Crystalline Sr3AlGa2O8 at its relaxed geometry (PBE, the Alexandria database).

Results
E_form (uncorrected)   -2.361 eV/atom
ρ   4.9 g/cm3
Magnetization   0.89 μB per formula unit
Space group   No. 164

The structure in POSCAR format:
```
Sr3AlGa2O8
1.0
5.5347 0.0000 0.0000
-2.7673 4.7932 0.0000
0.0000 0.0000 7.1526
Sr Al Ga O
3 1 2 8
Direct
0.0000 0.0000 0.0000
0.3333 0.6667 0.6426
0.6667 0.3333 0.3574
0.0000 0.0000 0.5000
0.3333 0.6667 0.2169
0.6667 0.3333 0.7831
0.1593 0.3185 0.3359
0.1593 0.8407 0.3359
0.3185 0.1593 0.6641
0.3333 0.6667 0.9676
0.6667 0.3333 0.0324
0.6815 0.8407 0.3359
0.8407 0.1593 0.6641
0.8407 0.6815 0.6641
```

# 6
# SrAlGaO4

Crystalline SrAlGaO4 at its relaxed geometry (PBE, the Alexandria database).

Results
E_form (uncorrected)   -2.435 eV/atom
ρ   4.4 g/cm3
Magnetization   0.00 μB per formula unit
Space group   No. 11

The structure in POSCAR format:
```
SrAlGaO4
1.0
5.1767 0.0000 0.0000
0.0000 5.5484 0.0000
-1.9266 0.0000 6.5889
Sr Al Ga O
2 2 2 8
Direct
0.2212 0.2500 0.4537
0.7788 0.7500 0.5463
0.2295 0.7500 0.1759
0.7705 0.2500 0.8241
0.3744 0.2500 0.0109
0.6256 0.7500 0.9891
0.0328 0.2500 0.0507
0.1549 0.7500 0.4060
0.4969 0.5266 0.1863
0.4969 0.9734 0.1863
0.5031 0.0266 0.8137
0.5031 0.4734 0.8137
0.8451 0.2500 0.5940
0.9672 0.7500 0.9493
```

# 7
# Sr2AlGa2O6

Crystalline Sr2AlGa2O6 at its relaxed geometry (PBE, the Alexandria database).

Results
E_form (uncorrected)   -2.193 eV/atom
ρ   4.7 g/cm3
Magnetization   0.64 μB per formula unit
Space group   No. 166

The structure in POSCAR format:
```
Sr2AlGa2O6
1.0
2.8733 1.6589 5.3735
-2.8733 1.6589 5.3735
0.0000 -3.3178 5.3735
Sr Al Ga O
2 1 2 6
Direct
0.2101 0.2101 0.2101
0.7899 0.7899 0.7899
0.0000 0.0000 0.0000
0.4234 0.4234 0.4234
0.5766 0.5766 0.5766
0.2268 0.2268 0.7732
0.2268 0.7732 0.2268
0.2268 0.7732 0.7732
0.7732 0.2268 0.2268
0.7732 0.2268 0.7732
0.7732 0.7732 0.2268
```

# 8
# Sr2AlGaO5

Crystalline Sr2AlGaO5 at its relaxed geometry (PBE, the Alexandria database).

Results
E_form (uncorrected)   -2.574 eV/atom
ρ   4.9 g/cm3
Magnetization   0.00 μB per formula unit
Space group   No. 36

The structure in POSCAR format:
```
Sr2AlGaO5
1.0
1.5979 -7.2496 0.0000
1.5979 7.2496 0.0000
0.0000 0.0000 10.3625
Sr Al Ga O
4 2 2 10
Direct
0.1097 0.8903 0.5000
0.1296 0.8704 0.1324
0.8704 0.1296 0.6324
0.8903 0.1097 0.0000
0.4404 0.5596 0.2710
0.5596 0.4404 0.7710
0.2201 0.7799 0.8485
0.7799 0.2201 0.3485
0.0467 0.9533 0.8513
0.2888 0.7112 0.4730
0.3188 0.6812 0.2234
0.3481 0.6519 0.8225
0.4959 0.5041 0.1200
0.5041 0.4959 0.6200
0.6519 0.3481 0.3225
0.6812 0.3188 0.7234
0.7112 0.2888 0.9730
0.9533 0.0467 0.3513
```

Question: The lowest E_form (uncorrected) belongs to which entry?
Answer: Sc2AlGaO6

Question: E_form (uncorrected) of number 2 (Sc4AlGaO)?
Answer: -1.132 eV/atom

What did the third record say?
# AlGa2SiO6

Crystalline AlGa2SiO6 at its relaxed geometry (PBE, the Alexandria database).

Results
E_form (uncorrected)   -2.113 eV/atom
ρ   4.7 g/cm3
Magnetization   0.00 μB per formula unit
Space group   No. 15

The structure in POSCAR format:
```
AlGa2SiO6
1.0
4.8717 -4.3019 0.0000
4.8717 4.3019 0.0000
-0.7032 0.0000 4.9420
Al Ga Si O
2 4 2 12
Direct
0.0883 0.9117 0.7500
0.9117 0.0883 0.2500
0.2169 0.4087 0.7053
0.4087 0.2169 0.2053
0.5913 0.7831 0.7947
0.7831 0.5913 0.2947
0.2583 0.7417 0.2500
0.7417 0.2583 0.7500
0.0114 0.1897 0.6198
0.1398 0.6632 0.9195
0.1897 0.0114 0.1198
0.2769 0.4859 0.3587
0.3368 0.8602 0.5805
0.4859 0.2769 0.8587
0.5141 0.7231 0.1413
0.6632 0.1398 0.4195
0.7231 0.5141 0.6413
0.8103 0.9886 0.8802
0.8602 0.3368 0.0805
0.9886 0.8103 0.3802
```

Question: What is the ρ in the fifth record?
Answer: 4.9 g/cm3